# TbZr2Ga, relaxed, DFT PBE
# * crystal system: tetragonal
# * total moment: 0.00 μB/f.u.
# * volume: 91.8 Å³/f.u.
# * offset from the most stable computed form: 0.1432 eV/atom
# * formation energy from the elements: -0.7 eV per formula unit
data_TbZr2Ga
_chemical_formula_sum 'Tb1 Zr2 Ga1'
_symmetry_space_group_name_H-M 'P 4/m m m'
_symmetry_Int_Tables_number 123
_symmetry_space_group_name_Hall '-P 4 2'
_cell_length_a 3.2331
_cell_length_b 3.2331
_cell_length_c 8.7779
_cell_angle_alpha 90.00
_cell_angle_beta 90.00
_cell_angle_gamma 90.00
loop_
_atom_site_label
_atom_site_type_symbol
_atom_site_fract_x
_atom_site_fract_y
_atom_site_fract_z
_atom_site_occupancy
Tb1 Tb 0.0000 0.0000 0.0000 1
Zr1 Zr 0.5000 0.5000 0.2890 1
Ga1 Ga 0.0000 0.0000 0.5000 1

# Ga5Tc, relaxed, DFT PBE
# * crystal system: monoclinic
# * total moment: 0.00 μB/f.u.
# * volume: 96.7 Å³/f.u.
# * offset from the most stable computed form: 0.0360 eV/atom
# * formation energy from the elements: -0.4 eV per formula unit
data_Ga5Tc
_chemical_formula_sum 'Ga10 Tc2'
_symmetry_space_group_name_H-M 'P 1 21/m 1'
_symmetry_Int_Tables_number 11
_symmetry_space_group_name_Hall '-P 2yb'
_cell_length_a 5.0791
_cell_length_b 7.1714
_cell_length_c 5.4822
_cell_angle_alpha 90.00
_cell_angle_beta 104.42
_cell_angle_gamma 90.00
loop_
_atom_site_label
_atom_site_type_symbol
_atom_site_fract_x
_atom_site_fract_y
_atom_site_fract_z
_atom_site_occupancy
Ga1 Ga 0.2251 0.2500 0.1924 1
Ga2 Ga 0.2276 0.5710 0.4365 1
Ga3 Ga 0.2501 0.5621 0.9391 1
Tc1 Tc 0.3617 0.2500 0.7089 1

formation energy from the elements of number 1 (TbZr2Ga)? -0.7 eV per formula unit

Which value of total moment does entry 2 give? 0.00 μB/f.u.

Which value of volume does entry 2 give? 96.7 Å³/f.u.